Entry 1:
## Dy3PS (GGA-PBE)

Data for Dy3PS after structural relaxation.

CIF file:
```
data_Dy3PS
_cell_length_a 6.4712
_cell_length_b 6.4712
_cell_length_c 3.5722
_cell_angle_alpha 90.00
_cell_angle_beta 90.00
_cell_angle_gamma 120.00
_symmetry_space_group_name_H-M 'P -6'
_symmetry_Int_Tables_number 174
_symmetry_space_group_name_Hall 'P -6'
loop_
_atom_site_label
_atom_site_type_symbol
_atom_site_fract_x
_atom_site_fract_y
_atom_site_fract_z
Dy1 Dy 0.0034 0.3358 0.0000
P1 P 0.3333 0.6667 0.5000
S1 S 0.0000 0.0000 0.5000
```

Formation energy (no corrections), kJ/mol of formula units: -535.2

***

Entry 2:
## Dy3PS2 (GGA-PBE)

Data for Dy3PS2 after structural relaxation.

CIF file:
```
data_Dy3PS2
_cell_length_a 6.830
_cell_length_b 11.814
_cell_length_c 6.839
_cell_angle_alpha 90.00
_cell_angle_beta 109.54
_cell_angle_gamma 90.00
_symmetry_space_group_name_H-M 'C 1 2/c 1'
_symmetry_Int_Tables_number 15
_symmetry_space_group_name_Hall '-C 2yc'
loop_
_atom_site_label
_atom_site_type_symbol
_atom_site_fract_x
_atom_site_fract_y
_atom_site_fract_z
Dy1 Dy 0.243 0.081 0.001
Dy2 Dy 0.250 0.250 0.500
P1 P 0.000 0.085 0.250
S1 S 0.000 0.251 0.750
S2 S 0.000 0.417 0.250
```

ΔE to the lowest computed polymorph, meV per atom: 6
Formation energy (no corrections), kJ/mol of formula units: -1113.6

***

- Look up the formation energy (no corrections) of the first one.
  -535.2 kJ/mol of formula units

***

- formation energy (no corrections) of number 2 (Dy3PS2)?
  -1113.6 kJ/mol of formula units